Computed, not measured: a geometry-optimized SmEr2ThN4 structure at the PBE level of DFT.

Summary:
formation energy (no corrections)	-13.2	eV per formula unit

Cell and atoms, written as CIF:
```
data_SmEr2ThN4
_cell_length_a 6.108
_cell_length_b 3.536
_cell_length_c 6.108
_cell_angle_alpha 90.00
_cell_angle_beta 109.33
_cell_angle_gamma 90.00
_symmetry_space_group_name_H-M 'P 1 2/m 1'
_symmetry_Int_Tables_number 10
loop_
_symmetry_equiv_pos_as_xyz
'x,y,z'
'-x,-y,-z'
'-x,y,-z'
'x,-y,z'
loop_
_atom_site_label
_atom_site_type_symbol
_atom_site_fract_x
_atom_site_fract_y
_atom_site_fract_z
_atom_site_occupancy
Sm1 Sm 0.000 0.000 0.000 1
Er1 Er 0.000 0.500 0.500 1
Er2 Er 0.500 0.000 0.500 1
Th1 Th 0.500 0.500 0.000 1
N1 N 0.250 0.000 0.742 1
N2 N 0.257 0.500 0.258 1
```